[1]
Below is a relaxed TaHg2Os crystal, with properties calculated at the PBE-GGA level.

a b c (Å): 5.8486 5.8486 3.2107
angles (deg): 73.85 73.85 122.26
With the nearest neighbours (Å) after each atom.
Positions (direct):
Os 0.5000 0.0000 0.5000  4 Ta 2.80-2.82, 4 Hg 2.92
Ta 0.0000 0.5000 0.5000  4 Os 2.80-2.82, 4 Hg 2.92
Hg 0.0000 0.0000 0.0000  4 Hg 2.80-2.82, 2 Os 2.92, 2 Ta 2.92
Hg 0.5000 0.5000 0.0000  4 Hg 2.80-2.82, 2 Ta 2.92, 2 Os 2.92

Summary:
Final energy, eV per atom: -5.305
Energy relative to the elements, meV/atom: 616


[2]
Below is a relaxed AcDy3Ho2 crystal, with properties calculated at the PBE-GGA level.

a b c (Å): 6.7431 6.7431 9.0159
angles (deg): 98.23 98.23 94.79
With the nearest neighbours (Å) after each atom.
Positions (direct):
Ac 0.9282 0.0718 0.7500  5 Dy 3.40-3.60, 4 Ho 3.71-3.77
Ac 0.0718 0.9282 0.2500  5 Dy 3.40-3.60, 4 Ho 3.71-3.77
Dy 0.5861 0.4139 0.7500  4 Dy 3.21-3.48, 1 Ac 3.40
Dy 0.6429 0.8216 0.9902  3 Dy 3.21-3.48, 1 Ac 3.41, 2 Ho 3.56-3.57
Dy 0.4139 0.5861 0.2500  4 Dy 3.21-3.48, 1 Ac 3.40
Dy 0.8216 0.6429 0.4902  3 Dy 3.21-3.48, 1 Ac 3.41, 2 Ho 3.56-3.57
Dy 0.3571 0.1784 0.0098  3 Dy 3.21-3.48, 1 Ac 3.41, 2 Ho 3.56-3.57
Dy 0.1784 0.3571 0.5098  3 Dy 3.21-3.48, 1 Ac 3.41, 2 Ho 3.56-3.57
Ho 0.1304 0.6176 0.8745  2 Ho 3.53-3.54, 9 Dy 3.56-3.91, 3 Ac 3.71-3.81
Ho 0.3824 0.8696 0.6255  2 Ho 3.53-3.54, 9 Dy 3.56-3.91, 3 Ac 3.71-3.81
Ho 0.6176 0.1304 0.3745  2 Ho 3.53-3.54, 9 Dy 3.56-3.91, 3 Ac 3.71-3.81
Ho 0.8696 0.3824 0.1255  2 Ho 3.53-3.54, 9 Dy 3.56-3.91, 3 Ac 3.71-3.81

Summary:
Final energy, eV per atom: -4.408
Energy relative to the elements, meV/atom: 104


[3]
Below is a relaxed B3PdRh5 crystal, with properties calculated at the PBE-GGA level.

a b c (Å): 5.8407 7.9302 7.9302
angles (deg): 52.32 65.98 96.93
With the nearest neighbours (Å) after each atom.
Positions (direct):
B 0.6983 0.6750 0.9767  5 Rh 2.06-2.13, 1 Pd 2.21
B 0.3017 0.3250 0.0233  5 Rh 2.06-2.13, 1 Pd 2.21
B 0.1604 0.6649 0.5045  5 Rh 2.08-2.10, 1 Pd 2.11
B 0.0000 0.0000 0.0000  4 Rh 2.06-2.07, 2 Pd 2.13
B 0.8396 0.3351 0.4955  5 Rh 2.08-2.10, 1 Pd 2.11
B 0.5000 0.0000 0.5000  6 Rh 2.08-2.10
Rh 0.2446 0.4449 0.2003  3 B 2.08-2.13
Rh 0.3130 0.6257 0.7179  3 B 2.08-2.10
Rh 0.7554 0.5551 0.7997  3 B 2.08-2.13
Rh 0.6870 0.9692 0.6872  3 B 2.08-2.10
Rh 0.6870 0.3743 0.2821  3 B 2.08-2.10
Rh 0.0000 0.2964 0.7036  3 B 2.07-2.10
Rh 0.3130 0.0308 0.3128  3 B 2.08-2.10
Rh 0.8858 0.0902 0.2044  3 B 2.06-2.08
Rh 0.0000 0.7036 0.2964  3 B 2.07-2.10
Rh 0.1142 0.9098 0.7956  3 B 2.06-2.08
Pd 0.5571 0.7617 0.2046  3 B 2.11-2.21
Pd 0.4429 0.2383 0.7954  3 B 2.11-2.21

Summary:
Final energy, eV per atom: -7.067
Energy relative to the elements, meV/atom: -180


[4]
Below is a relaxed LiDy3Hg crystal, with properties calculated at the PBE-GGA level.

a b c (Å): 5.1291 5.1323 10.4167
angles (deg): 90.00 75.75 90.00
With the nearest neighbours (Å) after each atom.
Positions (direct):
Li 0.1706 0.2500 0.3072  8 Dy 3.14-3.24
Li 0.4778 0.7500 0.6928  8 Dy 3.14-3.24
Dy 0.3823 0.2500 0.8838  2 Li 3.21, 2 Hg 3.29, 4 Dy 3.48-3.56
Dy 0.7601 0.2500 0.1282  2 Li 3.14, 2 Hg 3.22
Dy 0.0759 0.7500 0.4965  4 Hg 3.12-3.16, 4 Li 3.20-3.24
Dy 0.5724 0.2500 0.5035  4 Hg 3.12-3.16, 4 Li 3.20-3.24
Dy 0.2661 0.7500 0.1162  2 Li 3.21, 2 Hg 3.29, 4 Dy 3.48-3.56
Dy 0.8883 0.7500 0.8718  2 Li 3.14, 2 Hg 3.22
Hg 0.6640 0.7500 0.3204  8 Dy 3.12-3.29
Hg 0.9844 0.2500 0.6796  8 Dy 3.12-3.29

Summary:
Final energy, eV per atom: -3.367
Energy relative to the elements, meV/atom: -163


[5]
Below is a relaxed Er3Cd2Ga crystal, with properties calculated at the PBE-GGA level.

a b c (Å): 5.1617 5.1617 6.3473
angles (deg): 90.00 90.00 120.00
With the nearest neighbours (Å) after each atom.
Positions (direct):
Cd 0.6667 0.3333 0.3515  8 Er 3.13-3.24
Cd 0.3333 0.6667 0.6485  8 Er 3.13-3.24
Er 0.6667 0.3333 0.8478  3 Ga 3.13, 5 Cd 3.15-3.24
Er 0.3333 0.6667 0.1522  3 Ga 3.13, 5 Cd 3.15-3.24
Er 0.0000 0.0000 0.5000  6 Cd 3.13, 2 Ga 3.17
Ga 0.0000 0.0000 0.0000  8 Er 3.13-3.17

Summary:
Final energy, eV per atom: -3.485
Energy relative to the elements, meV/atom: -394


[6]
Below is a relaxed Rb3MgPt crystal, with properties calculated at the PBE-GGA level.

a b c (Å): 6.4983 6.4983 6.4983
angles (deg): 90.00 90.00 90.00
With the nearest neighbours (Å) after each atom.
Positions (direct):
Rb 0.0000 0.5000 0.0000  2 Pt 3.25
Rb 0.0000 0.0000 0.5000  2 Pt 3.25
Rb 0.5000 0.0000 0.0000  2 Pt 3.25
Mg 0.5000 0.5000 0.5000  12 Rb 4.59
Pt 0.0000 0.0000 0.0000  6 Rb 3.25

Summary:
Final energy, eV per atom: -1.869
Energy relative to the elements, meV/atom: 239


[7]
Below is a relaxed AcBiHRh crystal, with properties calculated at the PBE-GGA level.

a b c (Å): 4.9483 4.9479 3.8560
angles (deg): 90.00 90.00 120.00
With the nearest neighbours (Å) after each atom.
Positions (direct):
H 0.2386 0.4771 0.3097  2 Rh 1.93
Bi 0.9053 0.8105 0.8099  3 Rh 2.86
Rh 0.2386 0.4772 0.8096  2 H 1.93
Ac 0.5719 0.1438 0.3099  3 H 2.86

Summary:
Final energy, eV per atom: -5.306


[8]
Below is a relaxed Ac6TbS8 crystal, with properties calculated at the PBE-GGA level.

a b c (Å): 8.5467 8.5467 8.5467
angles (deg): 60.00 60.00 60.00
With the nearest neighbours (Å) after each atom.
Positions (direct):
S 0.2500 0.2500 0.2500  6 Ac 3.02
S 0.7665 0.7665 0.2335  1 Tb 2.82, 4 Ac 3.03
S 0.2335 0.7665 0.7665  1 Tb 2.82, 4 Ac 3.03
S 0.2335 0.7665 0.2335  1 Tb 2.82, 4 Ac 3.03
S 0.7500 0.7500 0.7500  6 Ac 3.02
S 0.2335 0.2335 0.7665  1 Tb 2.82, 4 Ac 3.03
S 0.7665 0.2335 0.7665  1 Tb 2.82, 4 Ac 3.03
S 0.7665 0.2335 0.2335  1 Tb 2.82, 4 Ac 3.03
Ac 0.5000 0.5000 0.0000  6 S 3.02-3.03
Ac 0.0000 0.0000 0.5000  6 S 3.02-3.03
Ac 0.5000 0.0000 0.0000  6 S 3.02-3.03
Ac 0.0000 0.5000 0.5000  6 S 3.02-3.03
Ac 0.0000 0.5000 0.0000  6 S 3.02-3.03
Ac 0.5000 0.0000 0.5000  6 S 3.02-3.03
Tb 0.0000 0.0000 0.0000  6 S 2.82

Summary:
Final energy, eV per atom: -6.197
Formation energy without anion corrections, meV per atom: -2044


[9]
Below is a relaxed La2CrTc crystal, with properties calculated at the PBE-GGA level.

a b c (Å): 6.4579 6.4579 4.8942
angles (deg): 67.73 67.73 31.75
With the nearest neighbours (Å) after each atom.
Positions (direct):
La 0.9875 0.9875 0.0124  4 Tc 3.12, 2 Cr 3.33, 2 La 3.48
La 0.7704 0.7704 0.7297  4 Cr 3.17, 2 Tc 3.45, 4 La 3.48-3.53
Cr 0.1853 0.1853 0.3149  2 Tc 2.30
Tc 0.5569 0.5569 0.4430  2 Cr 2.30

Summary:
Final energy, eV per atom: -7.189
Energy relative to the elements, meV/atom: 272


[10]
Below is a relaxed BeTcTe crystal, with properties calculated at the PBE-GGA level.

a b c (Å): 4.8169 4.8169 4.8169
angles (deg): 140.16 140.16 57.61
With the nearest neighbours (Å) after each atom.
Positions (direct):
Te 0.6676 0.6676 0.0000  5 Be 2.63-2.81, 5 Tc 2.66-2.80
Be 0.9796 0.9796 0.0000  4 Tc 2.56, 5 Te 2.63-2.81
Tc 0.3528 0.3528 0.0000  4 Be 2.56, 5 Te 2.66-2.80

Summary:
Final energy, eV per atom: -5.543
Formation energy without anion corrections, meV per atom: 201


[11]
Below is a relaxed LaIn4Ni crystal, with properties calculated at the PBE-GGA level.

a b c (Å): 4.5260 7.3396 8.8133
angles (deg): 90.00 105.00 90.00
With the nearest neighbours (Å) after each atom.
Positions (direct):
La 0.8817 0.2500 0.7630  11 In 3.31-3.59, 2 Ni 3.46-3.47
La 0.1183 0.7500 0.2370  11 In 3.31-3.59, 2 Ni 3.46-3.47
Ni 0.7722 0.7500 0.5454  7 In 2.58-2.78
Ni 0.2278 0.2500 0.4546  7 In 2.58-2.78
In 0.5000 0.0000 0.0000  6 In 3.18-3.24, 4 La 3.54-3.55
In 0.6891 0.0497 0.3779  3 Ni 2.62-2.78
In 0.3109 0.5497 0.6221  3 Ni 2.62-2.78
In 0.6891 0.4503 0.3779  3 Ni 2.62-2.78
In 0.3109 0.9503 0.6221  3 Ni 2.62-2.78
In 0.5000 0.5000 0.0000  6 In 3.18-3.24, 4 La 3.54-3.55
In 0.0761 0.2500 0.1514  1 Ni 2.58
In 0.9239 0.7500 0.8486  1 Ni 2.58

Summary:
Final energy, eV per atom: -4.009
Energy relative to the elements, meV/atom: -399


[12]
Below is a relaxed CaTlB2 crystal, with properties calculated at the PBE-GGA level.

a b c (Å): 4.3066 4.3066 8.7400
angles (deg): 75.74 75.74 90.00
With the nearest neighbours (Å) after each atom.
Positions (direct):
B 0.8752 0.6250 0.2500  2 B 2.15, 2 Tl 2.31
B 0.8750 0.1248 0.7500  2 B 2.15, 2 Tl 2.31
B 0.3750 0.1252 0.7500  2 B 2.15, 2 Tl 2.31
B 0.8748 0.1250 0.2500  2 B 2.15, 2 Tl 2.31
Ca 0.5000 0.5000 0.0000  4 Tl 3.05, 8 B 3.16
Ca 0.2500 0.7500 0.5000  4 Tl 3.05, 8 B 3.16
Tl 0.0000 0.0000 0.0000  4 B 2.31
Tl 0.7500 0.2500 0.5000  4 B 2.31

Summary:
Final energy, eV per atom: -3.452
Energy relative to the elements, meV/atom: 979


[13]
Below is a relaxed YCuIr2 crystal, with properties calculated at the PBE-GGA level.

a b c (Å): 4.0209 4.0216 4.0806
angles (deg): 90.00 90.00 90.00
With the nearest neighbours (Å) after each atom.
Positions (direct):
Y 0.5000 0.0000 0.5000  4 Cu 2.84, 8 Ir 2.86
Cu 0.0000 0.5000 0.5000  4 Y 2.84, 8 Ir 2.86
Ir 0.5000 0.5000 0.0000  4 Ir 2.84, 4 Cu 2.86, 4 Y 2.86
Ir 0.0000 0.0000 0.0000  4 Ir 2.84, 4 Y 2.86, 4 Cu 2.86

Summary:
Final energy, eV per atom: -7.361
Energy relative to the elements, meV/atom: -291


[14]
Below is a relaxed Na3Np2InTe6 crystal, with properties calculated at the PBE-GGA level.

a b c (Å): 7.8313 7.8313 7.8276
angles (deg): 99.62 99.62 119.97
With the nearest neighbours (Å) after each atom.
Positions (direct):
Te 0.9224 0.5812 0.7687  2 Np 3.09, 1 In 3.17, 3 Na 3.27-3.31
Te 0.0776 0.4188 0.2313  2 Np 3.09, 1 In 3.17, 3 Na 3.27-3.31
Te 0.7354 0.7354 0.2311  2 Np 3.10, 1 In 3.17, 3 Na 3.23-3.27
Te 0.4188 0.0776 0.2313  2 Np 3.09, 1 In 3.17, 3 Na 3.27-3.31
Te 0.5812 0.9224 0.7687  2 Np 3.09, 1 In 3.17, 3 Na 3.27-3.31
Te 0.2646 0.2646 0.7689  2 Np 3.10, 1 In 3.17, 3 Na 3.23-3.27
Np 0.3328 0.6672 0.0000  6 Te 3.09-3.10
Np 0.6672 0.3328 0.0000  6 Te 3.09-3.10
In 0.0000 0.0000 0.0000  6 Te 3.17
Na 0.8376 0.1624 0.5000  6 Te 3.27-3.31
Na 0.1624 0.8376 0.5000  6 Te 3.27-3.31
Na 0.5000 0.5000 0.5000  6 Te 3.23-3.30

Summary:
Final energy, eV per atom: -4.999
Formation energy without anion corrections, meV per atom: -713


[15]
Below is a relaxed Sr2DySn3Pd4 crystal, with properties calculated at the PBE-GGA level.

a b c (Å): 4.6573 4.6573 11.2866
angles (deg): 90.00 90.00 90.00
With the nearest neighbours (Å) after each atom.
Positions (direct):
Sn 0.5000 0.0000 0.8801  5 Pd 2.67-2.69
Sn 0.0000 0.5000 0.1199  5 Pd 2.67-2.69
Sn 0.0000 0.0000 0.5000  4 Pd 2.84
Pd 0.5000 0.0000 0.6439  3 Sn 2.67-2.84, 2 Dy 2.84
Pd 0.5000 0.5000 0.0000  4 Sn 2.69
Pd 0.0000 0.5000 0.3561  3 Sn 2.67-2.84, 2 Dy 2.84
Pd 0.0000 0.0000 0.0000  4 Sn 2.69
Sr 0.5000 0.0000 0.2297  8 Pd 3.48-3.59, 6 Sn 3.52-3.84, 2 Dy 3.84
Sr 0.0000 0.5000 0.7703  8 Pd 3.48-3.59, 6 Sn 3.52-3.84, 2 Dy 3.84
Dy 0.5000 0.5000 0.5000  4 Pd 2.84

Summary:
Final energy, eV per atom: -4.849
Energy relative to the elements, meV/atom: -775


[16]
Below is a relaxed LiSm2Sn3Rh4 crystal, with properties calculated at the PBE-GGA level.

a b c (Å): 4.2012 4.2012 11.6948
angles (deg): 90.00 90.00 90.00
With the nearest neighbours (Å) after each atom.
Positions (direct):
Sm 0.0000 0.5000 0.7360  4 Rh 3.16, 6 Sn 3.35-3.47, 2 Li 3.47
Sm 0.5000 0.0000 0.2640  4 Rh 3.16, 6 Sn 3.35-3.47, 2 Li 3.47
Sn 0.5000 0.0000 0.8682  5 Rh 2.61-2.62
Sn 0.0000 0.5000 0.1318  5 Rh 2.61-2.62
Sn 0.0000 0.0000 0.5000  4 Rh 2.70, 4 Li 2.97
Li 0.5000 0.5000 0.5000  4 Rh 2.70, 4 Sn 2.97
Rh 0.0000 0.0000 0.0000  4 Sn 2.61
Rh 0.5000 0.0000 0.6444  3 Sn 2.62-2.70, 2 Li 2.70
Rh 0.5000 0.5000 0.0000  4 Sn 2.61
Rh 0.0000 0.5000 0.3556  3 Sn 2.62-2.70, 2 Li 2.70

Summary:
Final energy, eV per atom: -5.933
Energy relative to the elements, meV/atom: -657


[17]
Below is a relaxed Pm3Si2NiPt9 crystal, with properties calculated at the PBE-GGA level.

a b c (Å): 6.3691 6.3691 8.8140
angles (deg): 90.00 90.00 120.00
With the nearest neighbours (Å) after each atom.
Positions (direct):
Si 0.6667 0.3333 0.8149  6 Pt 2.27-2.46
Si 0.3333 0.6667 0.1851  6 Pt 2.27-2.46
Ni 0.0000 0.0000 0.5000  6 Pt 2.49
Pt 0.7146 0.8573 0.2811  1 Si 2.27, 1 Ni 2.49
Pt 0.1427 0.2854 0.2811  1 Si 2.27, 1 Ni 2.49
Pt 0.8573 0.7146 0.7189  1 Si 2.27, 1 Ni 2.49
Pt 0.2854 0.1427 0.7189  1 Si 2.27, 1 Ni 2.49
Pt 0.1427 0.8573 0.2811  1 Si 2.27, 1 Ni 2.49
Pt 0.8573 0.1427 0.7189  1 Si 2.27, 1 Ni 2.49
Pt 0.5000 0.5000 0.0000  2 Si 2.46
Pt 0.5000 0.0000 0.0000  2 Si 2.46
Pt 0.0000 0.5000 0.0000  2 Si 2.46
Pm 0.6667 0.3333 0.3049  9 Pt 3.20-3.26
Pm 0.3333 0.6667 0.6951  9 Pt 3.20-3.26
Pm 0.0000 0.0000 0.0000  12 Pt 2.94-3.18

Summary:
Final energy, eV per atom: -6.356
Formation energy without anion corrections, meV per atom: -673


[18]
Below is a relaxed Tb5CePrHo2 crystal, with properties calculated at the PBE-GGA level.

a b c (Å): 5.7178 11.1616 9.6143
angles (deg): 90.00 90.00 104.84
With the nearest neighbours (Å) after each atom.
Positions (direct):
Tb 0.6937 0.3873 0.2166  3 Ce 3.41-3.81, 5 Tb 3.45-3.78, 3 Ho 3.50-3.64, 1 Pr 3.51
Tb 0.5290 0.0580 0.2459  2 Pr 3.20-3.44, 3 Tb 3.28-3.56, 2 Ho 3.47
Tb 0.6063 0.2126 0.5398  3 Tb 3.28-3.63, 4 Ho 3.33-3.54
Tb 0.3063 0.6127 0.7166  3 Ce 3.41-3.81, 5 Tb 3.45-3.78, 3 Ho 3.50-3.64, 1 Pr 3.51
Tb 0.2663 0.5326 0.3338  1 Pr 3.07, 1 Ho 3.30, 1 Ce 3.35
Tb 0.9880 0.9759 0.5154  1 Ho 3.28, 2 Pr 3.51, 2 Tb 3.64
Tb 0.3937 0.7874 0.0398  3 Tb 3.28-3.63, 4 Ho 3.33-3.54
Tb 0.4710 0.9420 0.7459  2 Pr 3.20-3.44, 3 Tb 3.28-3.56, 2 Ho 3.47
Tb 0.0120 0.0241 0.0154  1 Ho 3.28, 2 Pr 3.51, 2 Tb 3.64
Tb 0.7337 0.4674 0.8338  1 Pr 3.07, 1 Ho 3.30, 1 Ce 3.35
Pr 0.4030 0.8061 0.4225  3 Tb 3.07-3.44
Pr 0.5970 0.1939 0.9225  3 Tb 3.07-3.44
Ce 0.8049 0.6098 0.5238  2 Ho 3.32-3.37, 5 Tb 3.35-3.49, 2 Pr 3.69
Ce 0.1951 0.3902 0.0238  2 Ho 3.32-3.37, 5 Tb 3.35-3.49, 2 Pr 3.69
Ho 0.8868 0.7735 0.8225  8 Tb 3.28-3.54, 1 Ce 3.37
Ho 0.1132 0.2265 0.3225  8 Tb 3.28-3.54, 1 Ce 3.37
Ho 0.8621 0.7243 0.2037  1 Ce 3.32, 4 Tb 3.33-3.71, 2 Pr 3.66, 1 Ho 3.70
Ho 0.1379 0.2757 0.7037  1 Ce 3.32, 4 Tb 3.33-3.71, 2 Pr 3.66, 1 Ho 3.70

Summary:
Final energy, eV per atom: -4.605
Energy relative to the elements, meV/atom: 175


[19]
Below is a relaxed Pb4Au3 crystal, with properties calculated at the PBE-GGA level.

a b c (Å): 14.7040 14.7040 14.7040
angles (deg): 166.23 166.23 19.52
With the nearest neighbours (Å) after each atom.
Positions (direct):
Au 0.2759 0.2759 0.0000  4 Au 2.91, 4 Pb 3.08
Au 0.0000 0.0000 0.0000  8 Pb 3.10
Au 0.7241 0.7241 0.0000  4 Au 2.91, 4 Pb 3.08
Pb 0.5637 0.5637 0.0000  4 Au 3.10
Pb 0.4363 0.4363 0.0000  4 Au 3.10
Pb 0.8385 0.8385 0.0000  5 Au 3.08-3.31
Pb 0.1615 0.1615 0.0000  5 Au 3.08-3.31

Summary:
Final energy, eV per atom: -3.552
Energy relative to the elements, meV/atom: -28


[20]
Below is a relaxed Ti2MnAg crystal, with properties calculated at the PBE-GGA level.

a b c (Å): 4.4171 4.4171 4.4171
angles (deg): 60.00 60.00 60.00
With the nearest neighbours (Å) after each atom.
Positions (direct):
Ag 0.5000 0.5000 0.5000  8 Ti 2.70
Ti 0.2500 0.2500 0.2500  4 Ag 2.70, 4 Mn 2.70
Ti 0.7500 0.7500 0.7500  4 Mn 2.70, 4 Ag 2.70
Mn 0.0000 0.0000 0.0000  8 Ti 2.70

Summary:
Final energy, eV per atom: -6.893
Energy relative to the elements, meV/atom: 60